1.
VASP calculation (GGA-PBE) on an optimized crystal structure of VPb2I.

abc: 7.761 7.761 7.761
angles: 90.00 90.00 90.00
Fractional positions:
V 0.000 0.000 0.000
V 0.000 0.500 0.500
V 0.500 0.000 0.500
V 0.500 0.500 0.000
Pb 0.250 0.250 0.250
Pb 0.250 0.250 0.750
Pb 0.250 0.750 0.250
Pb 0.250 0.750 0.750
Pb 0.750 0.250 0.250
Pb 0.750 0.250 0.750
Pb 0.750 0.750 0.250
Pb 0.750 0.750 0.750
I 0.000 0.000 0.500
I 0.000 0.500 0.000
I 0.500 0.000 0.000
I 0.500 0.500 0.500

Values from the calculation:
Crystal system: cubic
Space-group type: Fm-3m, No. 225
E above lowest polymorph (eV/atom): 0.016
Formation energy from raw total energies (eV per atom): 0.709

***

2.
VASP calculation (GGA-PBE) on an optimized crystal structure of Sr3Cl2O2.

abc: 8.663 8.663 10.375
angles: 97.59 97.59 27.81
Fractional positions:
Sr 0.049 0.049 0.255
Sr 0.197 0.197 0.682
Sr 0.402 0.402 0.061
Sr 0.598 0.598 0.939
Sr 0.803 0.803 0.318
Sr 0.951 0.951 0.745
Cl 0.221 0.221 0.156
Cl 0.354 0.354 0.522
Cl 0.646 0.646 0.478
Cl 0.779 0.779 0.844
O 0.096 0.096 0.803
O 0.455 0.455 0.856
O 0.545 0.545 0.144
O 0.904 0.904 0.197

Values from the calculation:
Crystal system: monoclinic
Space-group type: C2/m, No. 12
E above lowest polymorph (eV/atom): 0.024
Formation energy from raw total energies (eV per atom): -2.583

***

- E above lowest polymorph of number 2 (Sr3Cl2O2)?
  0.024 eV/atom

***

- Look up the formation energy from raw total energies of the second one.
  -2.583 eV per atom